VASP calculation (PBE) on a geometry-optimized RbInCoHg2 structure.

Summary:
D(E_F) = 2.30 states/eV/cell
Final energy = -11.43 eV per formula unit
Total magnetization = 0.0 μB per formula unit
Energy of formation from the pure elements = 0.0 eV/f.u.

```
data_RbInCoHg2
_cell_length_a 5.250
_cell_length_b 5.250
_cell_length_c 4.987
_cell_angle_alpha 90.00
_cell_angle_beta 90.00
_cell_angle_gamma 90.00
_space_group_name_H-M_alt 'P 4/m m m'
_space_group_IT_number 123
_space_group_name_Hall '-P 4 2'
loop_
_atom_site_label
_atom_site_type_symbol
_atom_site_fract_x
_atom_site_fract_y
_atom_site_fract_z
Rb1 Rb 0.000 0.000 0.000
In1 In 0.500 0.500 0.000
Co1 Co 0.500 0.500 0.500
Hg1 Hg 0.000 0.500 0.500
```